La2CdOs after structural relaxation. Source: Alexandria via LeMat-Bulk, functional PBE.

a = 5.541 Å, b = 5.541 Å, c = 5.541 Å
α = 130.51°, β = 130.51°, γ = 72.60°
Element x y z (fractional)
La 0.000 0.000 0.000
La 0.250 0.750 0.500
Cd 0.750 0.250 0.500
Os 0.500 0.500 0.000

Calculated values
Space group: I-4m2 (119)
Crystal system: tetragonal
ΔH_f (0 K) (meV per atom): 104
Total magnetic moment (Bohr magnetons per cell): 0.0
VASP energy (eV per atom): -5.396